## KSb2Te (PBE)

Data for a relaxed KSb2Te crystal.

For the size of the total moment, the calculation gives 0.000 μB/atom. The value obtained for the total DFT energy (no corrections) is -12.9 eV/cell.

The structure belongs to space group P4/mmm (No. 123); the cell edges are 4.710, 4.710 and 5.430 Å and the angles 90.00°, 90.00° and 90.00°. Symmetry generates all atoms from K at (0.000, 0.000, 0.000), Sb at (0.000, 0.500, 0.500) and Te at (0.500, 0.500, 0.000).